First-principles (GGA-PBEsol) data for crystalline YTlTeI2 at its relaxed geometry, as listed in the Alexandria database.

Cell and atoms, written as CIF:
```
data_YTlTeI2
_chemical_formula_sum 'Y1 Tl1 Te1 I2'
_symmetry_space_group_name_H-M 'P 4/m m m'
_symmetry_Int_Tables_number 123
_symmetry_space_group_name_Hall '-P 4 2'
_cell_length_a 5.813
_cell_length_b 5.813
_cell_length_c 5.690
_cell_angle_alpha 90.00
_cell_angle_beta 90.00
_cell_angle_gamma 90.00
loop_
_atom_site_label
_atom_site_type_symbol
_atom_site_fract_x
_atom_site_fract_y
_atom_site_fract_z
Y1 Y 0.000 0.000 0.000
Tl1 Tl 0.500 0.500 0.500
Te1 Te 0.500 0.500 0.000
I1 I 0.000 0.500 0.500
```

DOS(E_F)   3.55 states/eV/cell



First-principles (GGA-PBEsol) data for crystalline YTlTeI2 at its relaxed geometry, as listed in the Alexandria database.

Cell and atoms, written as CIF:
```
data_YTlTeI2
_chemical_formula_sum 'Y1 Tl1 Te1 I2'
_symmetry_space_group_name_H-M 'P 4/m m m'
_symmetry_Int_Tables_number 123
_symmetry_space_group_name_Hall '-P 4 2'
_cell_length_a 5.916
_cell_length_b 5.916
_cell_length_c 5.835
_cell_angle_alpha 90.00
_cell_angle_beta 90.00
_cell_angle_gamma 90.00
loop_
_atom_site_label
_atom_site_type_symbol
_atom_site_fract_x
_atom_site_fract_y
_atom_site_fract_z
Y1 Y 0.000 0.000 0.000
Tl1 Tl 0.500 0.500 0.500
Te1 Te 0.000 0.000 0.500
I1 I 0.000 0.500 0.000
```



First-principles (GGA-PBEsol) data for crystalline TlZnTeI2 at its relaxed geometry, as listed in the Alexandria database.

Cell and atoms, written as CIF:
```
data_TlZnTeI2
_chemical_formula_sum 'Tl1 Zn1 Te1 I2'
_symmetry_space_group_name_H-M 'P 4/m m m'
_symmetry_Int_Tables_number 123
_symmetry_space_group_name_Hall '-P 4 2'
_cell_length_a 5.883
_cell_length_b 5.883
_cell_length_c 5.769
_cell_angle_alpha 90.00
_cell_angle_beta 90.00
_cell_angle_gamma 90.00
loop_
_atom_site_label
_atom_site_type_symbol
_atom_site_fract_x
_atom_site_fract_y
_atom_site_fract_z
Tl1 Tl 0.000 0.000 0.000
Zn1 Zn 0.500 0.500 0.500
Te1 Te 0.000 0.000 0.500
I1 I 0.000 0.500 0.000
```

DOS(E_F)   4.93 states/eV/cell



First-principles (GGA-PBEsol) data for crystalline ZrTlTeI2 at its relaxed geometry, as listed in the Alexandria database.

Cell and atoms, written as CIF:
```
data_ZrTlTeI2
_chemical_formula_sum 'Zr1 Tl1 Te1 I2'
_symmetry_space_group_name_H-M 'P 4/m m m'
_symmetry_Int_Tables_number 123
_symmetry_space_group_name_Hall '-P 4 2'
_cell_length_a 5.673
_cell_length_b 5.673
_cell_length_c 5.596
_cell_angle_alpha 90.00
_cell_angle_beta 90.00
_cell_angle_gamma 90.00
loop_
_atom_site_label
_atom_site_type_symbol
_atom_site_fract_x
_atom_site_fract_y
_atom_site_fract_z
Zr1 Zr 0.000 0.000 0.000
Tl1 Tl 0.500 0.500 0.500
Te1 Te 0.000 0.000 0.500
I1 I 0.000 0.500 0.000
```

DOS(E_F)   2.21 states/eV/cell



| no. | energy (eV per atom) | spin magnetization (μB/f.u.) | formation energy from raw total energies (eV/atom) |
| --- | --- | --- | --- |
| 1 | -3.2437 | 0.52 | 0.06 |
| 2 | -4.1543 | 0.00 | -0.85 |
| 3 | -1.8536 | 0.00 | 0.40 |
| 4 | -4.2452 | 0.00 | -0.49 |